Arrangement a

Cu2SnN | PBE | relaxed

Calculated values
DOS at the Fermi energy, states/eV per cell: 2.937
Space group: I-42d (122)

CIF file:
```
data_Cu2SnN
_chemical_formula_sum 'Cu4 Sn2 N2'
_cell_length_a 4.909
_cell_length_b 4.909
_cell_length_c 6.532
_cell_angle_alpha 67.93
_cell_angle_beta 67.93
_cell_angle_gamma 90.00
_space_group_name_H-M_alt 'P 1'
_space_group_IT_number 1
loop_
_space_group_symop_operation_xyz
'x,y,z'
loop_
_atom_site_label
_atom_site_fract_x
_atom_site_fract_y
_atom_site_fract_z
Sn1 0.000 0.000 0.000
Sn2 0.750 0.250 0.500
Cu1 0.408 0.125 0.250
Cu2 0.342 0.625 0.250
Cu3 0.375 0.592 0.750
Cu4 0.875 0.658 0.750
N1 0.500 0.500 0.000
N2 0.250 0.750 0.500
```

=====

Arrangement b

Cu2SnN | PBE | relaxed

Calculated values
DOS at the Fermi energy, states/eV per cell: 1.363
Space group: Fm-3m (225)

CIF file:
```
data_Cu2SnN
_chemical_formula_sum 'Cu2 Sn1 N1'
_cell_length_a 4.291
_cell_length_b 4.291
_cell_length_c 4.291
_cell_angle_alpha 60.00
_cell_angle_beta 60.00
_cell_angle_gamma 60.00
_space_group_name_H-M_alt 'P 1'
_space_group_IT_number 1
loop_
_space_group_symop_operation_xyz
'x,y,z'
loop_
_atom_site_label
_atom_site_fract_x
_atom_site_fract_y
_atom_site_fract_z
Sn1 0.500 0.500 0.500
Cu1 0.250 0.250 0.250
Cu2 0.750 0.750 0.750
N1 0.000 0.000 0.000
```

=====

Bottom line: arrangement a, by a margin of 599 meV/atom.